# Zr2GaSe4 (PBE, optimized geometry)
# VASP energy: -165.5 eV per cell
# ρ: 5.6 Mg/m³
# E_form (uncorrected): -1045.1 meV/atom
# density of states at the Fermi level: 11.73 states/eV/cell
data_Zr2GaSe4
_chemical_formula_sum 'Zr8 Ga4 Se16'
_cell_length_a 3.8488
_cell_length_b 12.8923
_cell_length_c 13.5366
_cell_angle_alpha 90.00
_cell_angle_beta 90.00
_cell_angle_gamma 90.00
_space_group_name_H-M_alt 'C m c m'
_space_group_IT_number 63
_space_group_name_Hall '-C 2c 2'
loop_
_atom_site_label
_atom_site_type_symbol
_atom_site_fract_x
_atom_site_fract_y
_atom_site_fract_z
Zr1 Zr 0.0000 0.1386 0.0617
Ga1 Ga 0.0000 0.4149 0.2500
Se1 Se 0.0000 0.0687 0.2500
Se2 Se 0.0000 0.2250 0.6197
Se3 Se 0.0000 0.5000 0.0000